Material: HfAsN2O
Method: DFT, PBE
State: optimized geometry

a b c (Å): 4.234 4.234 3.980
angles (deg): 90.00 90.00 90.00
Fractional positions:
1 Hf 0.000 0.000 0.000
2 As 0.500 0.500 0.500
3 N 0.000 0.500 0.000
4 N 0.500 0.000 0.000
5 O 0.000 0.000 0.500

## Properties
Its magnetization is 0.75 μB per formula unit. The value obtained for the formation energy (no corrections) is -0.09 eV per formula unit. The density of states at the Fermi level comes out at 0.678 states/eV/atom. For the uncorrected energy, the calculation gives -7.2613 eV/atom. Its space-group type is P4/mmm, No. 123.